Here is a relaxed Pm3Ho3Pt2 crystal from Alexandria. Energies are from GGA-PBE.

abc: 3.988 12.935 17.532
angles: 90.00 90.00 90.00
Space group Cmcm (No. 63)
Symmetry-distinct sites (fractional):
1 Pm 0.000 0.047 0.104 (multiplicity 8)
2 Pm 0.000 0.340 0.250 (multiplicity 4)
3 Ho 0.000 0.343 0.042 (multiplicity 8)
4 Ho 0.000 0.388 0.750 (multiplicity 4)
5 Pt 0.000 0.257 0.623 (multiplicity 8)


Here is a relaxed Pm3HoPt crystal from Alexandria. Energies are from GGA-PBE.

abc: 10.589 7.471 8.275
angles: 90.00 90.00 90.00
Space group Ima2 (No. 46)
Symmetry-distinct sites (fractional):
1 Pm 0.021 0.249 0.000 (multiplicity 8)
2 Pm 0.250 0.012 0.252 (multiplicity 4)
3 Ho 0.250 0.503 0.248 (multiplicity 4)
4 Pt 0.250 0.748 0.500 (multiplicity 4)


Here is a relaxed PmHo5Pt4 crystal from Alexandria. Energies are from GGA-PBE.

abc: 18.439 4.232 7.640
angles: 90.00 114.36 90.00
Space group C2/m (No. 12)
Symmetry-distinct sites (fractional):
1 Pm 0.000 0.000 0.000 (multiplicity 2)
2 Ho 0.000 0.000 0.500 (multiplicity 2)
3 Ho 0.165 0.500 0.407 (multiplicity 4)
4 Ho 0.165 0.500 0.924 (multiplicity 4)
5 Pt 0.000 0.500 0.263 (multiplicity 4)
6 Pt 0.205 0.000 0.205 (multiplicity 4)


Here is a relaxed PmHoPt crystal from Alexandria. Energies are from GGA-PBE.

abc: 10.547 4.531 7.266
angles: 90.00 90.00 90.00
Space group Pnma (No. 62)
Symmetry-distinct sites (fractional):
1 Pm 0.121 0.250 0.106 (multiplicity 4)
2 Ho 0.121 0.250 0.610 (multiplicity 4)
3 Pt 0.157 0.750 0.849 (multiplicity 4)


Here is a relaxed PmHo3Pt2 crystal from Alexandria. Energies are from GGA-PBE.

abc: 15.382 5.150 8.163
angles: 90.00 107.48 90.00
Space group C2/m (No. 12)
Symmetry-distinct sites (fractional):
1 Pm 0.158 0.000 0.260 (multiplicity 4)
2 Ho 0.064 0.000 0.766 (multiplicity 4)
3 Ho 0.119 0.500 0.520 (multiplicity 4)
4 Ho 0.182 0.500 0.003 (multiplicity 4)
5 Pt 0.008 0.500 0.177 (multiplicity 4)
6 Pt 0.214 0.000 0.644 (multiplicity 4)


Here is a relaxed Pm3HoPt2 crystal from Alexandria. Energies are from GGA-PBE.

abc: 16.324 4.550 10.468
angles: 90.00 113.11 90.00
Space group C2/m (No. 12)
Symmetry-distinct sites (fractional):
1 Pm 0.054 0.000 0.209 (multiplicity 4)
2 Pm 0.168 0.500 0.029 (multiplicity 4)
3 Pm 0.204 0.000 0.591 (multiplicity 4)
4 Ho 0.070 0.500 0.666 (multiplicity 4)
5 Pt 0.117 0.500 0.411 (multiplicity 4)
6 Pt 0.135 0.000 0.836 (multiplicity 4)


Here is a relaxed Pm3HoPt2 crystal from Alexandria. Energies are from GGA-PBE.

abc: 4.854 9.045 7.290
angles: 90.00 90.00 90.00
Space group Pmc2_1 (No. 26)
Symmetry-distinct sites (fractional):
1 Pm 0.000 0.086 0.000 (multiplicity 2)
2 Pm 0.000 0.338 0.362 (multiplicity 2)
3 Pm 0.500 0.167 0.650 (multiplicity 2)
4 Ho 0.500 0.414 0.012 (multiplicity 2)
5 Pt 0.000 0.344 0.770 (multiplicity 2)
6 Pt 0.500 0.164 0.244 (multiplicity 2)


Here is a relaxed Pm3HoPt8 crystal from Alexandria. Energies are from GGA-PBE.

abc: 5.4802 5.4802 26.8636
angles: 90.00 90.00 120.00
Space group R3m (No. 160, hexagonal axes)
Symmetry-distinct sites (fractional):
1 Pm 0.0000 0.0000 0.0000 (multiplicity 3)
2 Pm 0.0000 0.0000 0.1256 (multiplicity 3)
3 Pm 0.0000 0.0000 0.6242 (multiplicity 3)
4 Ho 0.0000 0.0000 0.4995 (multiplicity 3)
5 Pt 0.0000 0.0000 0.3125 (multiplicity 3)
6 Pt 0.0000 0.0000 0.8126 (multiplicity 3)
7 Pt 0.9997 0.4998 0.5618 (multiplicity 9)
8 Pt 0.0012 0.5006 0.0630 (multiplicity 9)


Here is a relaxed Pm2Ho3Pt4 crystal from Alexandria. Energies are from GGA-PBE.

abc: 7.619 7.657 7.778
angles: 90.00 109.39 90.00
Space group P2_1/c (No. 14)
Symmetry-distinct sites (fractional):
1 Pm 0.197 0.178 0.081 (multiplicity 4)
2 Ho 0.245 0.664 0.248 (multiplicity 4)
3 Ho 0.500 0.000 0.500 (multiplicity 2)
4 Pt 0.091 0.538 0.861 (multiplicity 4)
5 Pt 0.497 0.134 0.871 (multiplicity 4)


Here is a relaxed Pm3Ho2Pt2 crystal from Alexandria. Energies are from GGA-PBE.

abc: 3.819 6.502 8.803
angles: 71.43 77.48 72.94
Space group P-1 (No. 2)
Symmetry-distinct sites (fractional):
1 Pm 0.000 0.000 0.000 (multiplicity 1)
2 Pm 0.113 0.207 0.567 (multiplicity 2)
3 Ho 0.332 0.520 0.815 (multiplicity 2)
4 Pt 0.322 0.123 0.235 (multiplicity 2)


Here is a relaxed Pm2Ho3Pt2 crystal from Alexandria. Energies are from GGA-PBE.

abc: 12.433 3.768 9.113
angles: 90.00 117.08 90.00
Space group C2/m (No. 12)
Symmetry-distinct sites (fractional):
1 Pm 0.161 0.000 0.312 (multiplicity 4)
2 Ho 0.000 0.500 0.500 (multiplicity 2)
3 Ho 0.116 0.500 0.936 (multiplicity 4)
4 Pt 0.169 0.000 0.741 (multiplicity 4)


Here is a relaxed PmHoPt crystal from Alexandria. Energies are from GGA-PBE.

abc: 4.772 12.201 8.084
angles: 90.00 90.00 90.00
Space group Amm2 (No. 38)
Symmetry-distinct sites (fractional):
1 Pm 0.000 0.000 0.000 (multiplicity 2)
2 Pm 0.000 0.205 0.582 (multiplicity 4)
3 Ho 0.500 0.000 0.677 (multiplicity 2)
4 Ho 0.500 0.137 0.284 (multiplicity 4)
5 Pt 0.000 0.000 0.377 (multiplicity 2)
6 Pt 0.500 0.160 0.936 (multiplicity 4)


Number 1: formation energy from the elements -0.59 eV/atom. Number 2: formation energy from the elements -0.38 eV/atom. Number 3: formation energy from the elements -0.99 eV/atom. Number 4: formation energy from the elements -0.81 eV/atom. Number 5: formation energy from the elements -0.78 eV/atom. Number 6: formation energy from the elements -0.78 eV/atom. Number 7: formation energy from the elements -0.86 eV/atom. Number 8: formation energy from the elements -1.09 eV/atom. Number 9: formation energy from the elements -1.17 eV/atom. Number 10: formation energy from the elements -0.72 eV/atom. Number 11: formation energy from the elements -0.78 eV/atom. Number 12: formation energy from the elements -0.87 eV/atom.